1.
The following is a GGA-PBE calculation of a relaxed structure of BaCu2Re, from Alexandria.

a = 4.112 Å, b = 4.112 Å, c = 9.287 Å
α = 90.00°, β = 90.00°, γ = 90.00°
Space group I-4m2 (No. 119)
Symmetry-distinct sites (fractional):
Ba 0.000 0.000 0.000
Cu 0.000 0.000 0.500
Cu 0.000 0.500 0.750
Re 0.000 0.500 0.250

Summary:
V	157.0	Å³ per cell
energy above the lowest structure with this stoichiometry	718	meV/atom
calculated formation energy	1204	meV/atom
D(E_F)	7.8	states/eV/cell
raw total energy	-4.437	eV/atom



2.
The following is a GGA-PBE calculation of a relaxed structure of BaCuRe3, from Alexandria.

a = 4.990 Å, b = 4.990 Å, c = 4.990 Å
α = 90.00°, β = 90.00°, γ = 90.00°
Space group Pm-3m (No. 221)
Symmetry-distinct sites (fractional):
Ba 0.000 0.000 0.000
Cu 0.500 0.500 0.500
Re 0.000 0.000 0.500

Summary:
V	124.3	Å³ per cell
energy above the lowest structure with this stoichiometry	2048	meV/atom
calculated formation energy	4101	meV/atom
D(E_F)	7.4	states/eV/cell
raw total energy	-4.572	eV/atom